Record 1
Cs3MgF | Alexandria via LeMat-Bulk | GGA-PBE | optimized geometry; crystal system = cubic; SG = No. 221; spin magnetization = 0.00 μB/f.u.; excess energy over the best structure of this formula in the dataset = 0 meV/atom; E_tot = -10.5 eV/cell
1.0
6.236 0.000 0.000
0.000 6.236 0.000
0.000 0.000 6.236
Cs Mg F
3 1 1
direct
0.000 0.000 0.500
0.000 0.500 0.000
0.500 0.000 0.000
0.500 0.500 0.500
0.000 0.000 0.000

=====

Record 2
Cs3MgF4 | Alexandria via LeMat-Bulk | GGA-PBE | optimized geometry; crystal system = cubic; SG = No. 217; spin magnetization = 0.00 μB/f.u.; E_tot = -31.4 eV/cell
1.0
-3.966 3.966 3.966
3.966 -3.966 3.966
3.966 3.966 -3.966
Cs Mg F
3 1 4
direct
0.000 0.500 0.500
0.500 0.000 0.500
0.500 0.500 0.000
0.000 0.000 0.000
0.000 0.000 0.279
0.000 0.279 0.000
0.279 0.000 0.000
0.721 0.721 0.721

=====

Record 3
CsMgF2 | Alexandria via LeMat-Bulk | GGA-PBE | optimized geometry; crystal system = trigonal; SG = No. 166; spin magnetization = 0.00 μB/f.u.; excess energy over the best structure of this formula in the dataset = 0 meV/atom; E_tot = -15.7 eV/cell
1.0
2.106 1.216 7.252
-2.106 1.216 7.252
0.000 -2.432 7.252
Cs Mg F
1 1 2
direct
0.000 0.000 0.000
0.500 0.500 0.500
0.414 0.414 0.414
0.586 0.586 0.586